No. 1
# CeHoGe2 | Alexandria via LeMat-Bulk | PBE-GGA | relaxed
data_CeHoGe2
_chemical_formula_sum 'Ce1 Ho1 Ge2'
_cell_length_a 4.739
_cell_length_b 4.739
_cell_length_c 4.055
_cell_angle_alpha 90.00
_cell_angle_beta 90.00
_cell_angle_gamma 90.00
_symmetry_space_group_name_H-M 'P 1'
_symmetry_Int_Tables_number 1
_symmetry_space_group_name_Hall 'P 1'
loop_
_atom_site_label
_atom_site_type_symbol
_atom_site_fract_x
_atom_site_fract_y
_atom_site_fract_z
Ce1 Ce 0.000 0.000 0.000
Ho1 Ho 0.500 0.500 0.000
Ge1 Ge 0.000 0.500 0.500
Ge2 Ge 0.500 0.000 0.500
# SG: P4/mmm, No. 123
# Spin magnetization, μB per atom: 0.088
# ΔH_f (0 K), meV per atom: -629
# Raw total energy, eV per atom: -5.5658

---

No. 2
# FeTeBr2 | Alexandria via LeMat-Bulk | PBE-GGA | relaxed
data_FeTeBr2
_chemical_formula_sum 'Fe1 Te1 Br2'
_cell_length_a 5.149
_cell_length_b 5.149
_cell_length_c 5.149
_cell_angle_alpha 60.00
_cell_angle_beta 60.00
_cell_angle_gamma 60.00
_symmetry_space_group_name_H-M 'P 1'
_symmetry_Int_Tables_number 1
_symmetry_space_group_name_Hall 'P 1'
loop_
_atom_site_label
_atom_site_type_symbol
_atom_site_fract_x
_atom_site_fract_y
_atom_site_fract_z
Fe1 Fe 0.000 0.000 0.000
Te1 Te 0.500 0.500 0.500
Br1 Br 0.250 0.250 0.250
Br2 Br 0.750 0.750 0.750
# Formation energy from raw total energies, meV/atom: 719
# SG: Fm-3m, No. 225
# Spin magnetization, μB per atom: 0.743
# Raw total energy, eV per atom: -3.0183

---

No. 3
# TaMnTl | Alexandria via LeMat-Bulk | PBE-GGA | relaxed
data_TaMnTl
_chemical_formula_sum 'Ta1 Mn1 Tl1'
_cell_length_a 3.151
_cell_length_b 3.151
_cell_length_c 6.563
_cell_angle_alpha 90.00
_cell_angle_beta 90.00
_cell_angle_gamma 120.00
_symmetry_space_group_name_H-M 'P 1'
_symmetry_Int_Tables_number 1
_symmetry_space_group_name_Hall 'P 1'
loop_
_atom_site_label
_atom_site_type_symbol
_atom_site_fract_x
_atom_site_fract_y
_atom_site_fract_z
Ta1 Ta 0.000 0.000 0.000
Mn1 Mn 0.333 0.667 0.746
Tl1 Tl 0.667 0.333 0.396
# Energy relative to the lowest polymorph listed for this composition, eV per formula unit: 0.221
# SG: P3m1, No. 156
# Spin magnetization, μB per atom: 0.324
# ΔH_f (0 K), meV per atom: 493
# Raw total energy, eV per atom: -7.3030

---

No. 4
# Cs3YBi2O8 | Alexandria via LeMat-Bulk | PBE-GGA | relaxed
data_Cs3YBi2O8
_chemical_formula_sum 'Cs3 Y1 Bi2 O8'
_cell_length_a 6.491
_cell_length_b 6.491
_cell_length_c 8.560
_cell_angle_alpha 90.00
_cell_angle_beta 90.00
_cell_angle_gamma 120.00
_symmetry_space_group_name_H-M 'P 1'
_symmetry_Int_Tables_number 1
_symmetry_space_group_name_Hall 'P 1'
loop_
_atom_site_label
_atom_site_type_symbol
_atom_site_fract_x
_atom_site_fract_y
_atom_site_fract_z
Cs1 Cs 0.000 0.000 0.000
Cs2 Cs 0.333 0.667 0.697
Cs3 Cs 0.667 0.333 0.303
Y1 Y 0.000 0.000 0.500
Bi1 Bi 0.333 0.667 0.255
Bi2 Bi 0.667 0.333 0.745
O1 O 0.163 0.327 0.342
O2 O 0.163 0.837 0.342
O3 O 0.327 0.163 0.658
O4 O 0.333 0.667 0.022
O5 O 0.667 0.333 0.978
O6 O 0.673 0.837 0.342
O7 O 0.837 0.163 0.658
O8 O 0.837 0.673 0.658
# Formation energy from raw total energies, meV/atom: -1511
# SG: P-3m1, No. 164
# Spin magnetization, μB per atom: 0.009
# Raw total energy, eV per atom: -5.5435

---

No. 5
# Sb2NCl | Alexandria via LeMat-Bulk | PBE-GGA | relaxed
data_Sb2NCl
_chemical_formula_sum 'Sb4 N2 Cl2'
_cell_length_a 7.824
_cell_length_b 7.824
_cell_length_c 7.824
_cell_angle_alpha 138.45
_cell_angle_beta 138.45
_cell_angle_gamma 60.21
_symmetry_space_group_name_H-M 'P 1'
_symmetry_Int_Tables_number 1
_symmetry_space_group_name_Hall 'P 1'
loop_
_atom_site_label
_atom_site_type_symbol
_atom_site_fract_x
_atom_site_fract_y
_atom_site_fract_z
Sb1 Sb 0.375 0.244 0.369
Sb2 Sb 0.756 0.125 0.131
Sb3 Sb 0.875 0.006 0.631
Sb4 Sb 0.994 0.625 0.869
N1 N 0.000 0.000 0.000
N2 N 0.750 0.250 0.500
Cl1 Cl 0.250 0.750 0.500
Cl2 Cl 0.500 0.500 0.000
# Energy relative to the lowest polymorph listed for this composition, eV per formula unit: 0.000
# Formation energy from raw total energies, meV/atom: 392
# SG: I-42d, No. 122
# Spin magnetization, μB per atom: 0.000
# Raw total energy, eV per atom: -4.2125

---

No. 6
# SmTlIn2 | Alexandria via LeMat-Bulk | PBE-GGA | relaxed
data_SmTlIn2
_chemical_formula_sum 'Sm1 Tl1 In2'
_cell_length_a 3.895
_cell_length_b 3.895
_cell_length_c 7.343
_cell_angle_alpha 90.00
_cell_angle_beta 90.00
_cell_angle_gamma 90.00
_symmetry_space_group_name_H-M 'P 1'
_symmetry_Int_Tables_number 1
_symmetry_space_group_name_Hall 'P 1'
loop_
_atom_site_label
_atom_site_type_symbol
_atom_site_fract_x
_atom_site_fract_y
_atom_site_fract_z
Sm1 Sm 0.000 0.000 0.000
Tl1 Tl 0.000 0.000 0.500
In1 In 0.500 0.500 0.259
In2 In 0.500 0.500 0.741
# Energy relative to the lowest polymorph listed for this composition, eV per formula unit: 0.736
# SG: P4/mmm, No. 123
# Spin magnetization, μB per atom: 0.000
# ΔH_f (0 K), meV per atom: -209
# Raw total energy, eV per atom: -3.3500